No. 1
VASP calculation (PBE) on Ac3La6Ho after structural relaxation.

Calculated values
energy relative to the elements	0.091	eV per atom

a = 3.785 Å, b = 12.300 Å, c = 16.948 Å
α = 96.33°, β = 90.00°, γ = 90.00°
Fractional positions:
Ho 0.750 0.006 0.737
Ho 0.250 0.994 0.263
Ac 0.250 0.481 0.102
Ac 0.250 0.724 0.752
Ac 0.250 0.183 0.613
Ac 0.750 0.276 0.248
Ac 0.750 0.817 0.387
Ac 0.750 0.519 0.898
La 0.250 0.369 0.459
La 0.750 0.738 0.182
La 0.750 0.108 0.429
La 0.750 0.001 0.091
La 0.250 0.262 0.818
La 0.750 0.631 0.541
La 0.750 0.440 0.675
La 0.250 0.560 0.325
La 0.750 0.238 0.001
La 0.250 0.762 0.999
La 0.250 0.892 0.571
La 0.250 0.999 0.909

No. 2
VASP calculation (PBE) on Cs2Li2MnCl6 after structural relaxation.

Calculated values
E_form (uncorrected)	-1.6176	eV/atom

a = 6.729 Å, b = 6.729 Å, c = 7.884 Å
α = 90.00°, β = 90.00°, γ = 120.00°
Each line ends with the local moment (μB).
Fractional positions:
Cl 0.678 0.000 0.176  0.03
Cl 0.000 0.322 0.824  0.03
Cl 0.000 0.678 0.176  0.03
Cl 0.322 0.000 0.824  0.03
Cl 0.322 0.322 0.176  0.03
Cl 0.678 0.678 0.824  0.03
Li 0.333 0.667 0.000  0.00
Li 0.667 0.333 0.000  0.00
Cs 0.333 0.667 0.500  0.00
Cs 0.667 0.333 0.500  0.00
Mn 0.000 0.000 0.000  4.45

No. 3
VASP calculation (PBE) on K2BaSiS4 after structural relaxation.

Calculated values
E_form (uncorrected)	-1.0240	eV/atom

a = 8.487 Å, b = 8.487 Å, c = 10.425 Å
α = 127.89°, β = 127.89°, γ = 75.13°
Fractional positions:
S 0.804 0.232 0.018
S 0.732 0.304 0.518
S 0.500 0.500 0.287
S 0.500 0.500 0.713
S 0.000 0.000 0.213
S 0.196 0.768 0.982
S 0.000 0.000 0.787
S 0.268 0.696 0.482
Si 0.500 0.500 0.500
Si 0.000 0.000 0.000
Ba 0.000 0.500 0.500
Ba 0.000 0.500 0.000
K 0.500 0.000 0.000
K 0.500 0.500 0.000
K 0.500 0.000 0.500
K 0.000 0.000 0.500

No. 4
VASP calculation (PBE) on KZr2TlAg after structural relaxation.

Calculated values
energy relative to the elements	1.710	eV per atom

a = 5.131 Å, b = 5.076 Å, c = 5.131 Å
α = 90.00°, β = 90.00°, γ = 90.00°
Each line ends with the local moment (μB).
Fractional positions:
Ag 0.000 0.500 0.000  0.00
Tl 0.500 0.500 0.500  0.00
Zr 0.000 0.000 0.500  0.31
Zr 0.500 0.000 0.000  0.14
K 0.000 0.000 0.000  0.08

Number 1: DOS(E_F) 1.65 states/eV/atom, total magnetic moment 0.000 μB per atom. Number 2: DOS(E_F) 0.00 states/eV/atom, total magnetic moment 0.455 μB per atom. Number 3: DOS(E_F) 0.01 states/eV/atom, total magnetic moment 0.000 μB per atom. Number 4: DOS(E_F) 1.04 states/eV/atom, total magnetic moment 0.133 μB per atom.